Here is a relaxed structure of Li2SiBr from Alexandria via LeMat-Bulk. Energies are from PBE.

ΔE_f (raw): -0.27 eV per atom
Raw total energy: -12.0 eV/cell
SG: P2/m (10)
DOS at the Fermi energy: 1.8 states/eV per cell
Relative energy among the computed polymorphs: 171 meV per atom

Unit cell a=4.2237 b=3.3645 c=5.6759 alpha=90.00 beta=110.02 gamma=90.00
Closest atoms and distances in Å follow each position.
Sites, in units of the cell vectors:
Li1 0.0000 0.0000 0.0000  4 Br 2.70, 2 Si 2.84
Li2 0.5000 0.5000 0.5000  4 Si 2.70, 2 Br 2.84
Si1 0.0000 0.0000 0.5000  6 Li 2.70-2.84
Br1 0.5000 0.5000 0.0000  6 Li 2.70-2.84

Here is a relaxed structure of LiSiBr2 from Alexandria via LeMat-Bulk. Energies are from PBE.

ΔE_f (raw): -0.39 eV per atom
Raw total energy: -12.3 eV/cell
SG: C2/m (12)
DOS at the Fermi energy: 0.8 states/eV per cell
Relative energy among the computed polymorphs: 64 meV per atom

Unit cell a=5.4259 b=5.4259 c=3.5965 alpha=90.59 beta=90.59 gamma=90.03
Closest atoms and distances in Å follow each position.
Sites, in units of the cell vectors:
Li1 0.0000 0.0000 0.0000  4 Br 2.71
Si1 0.5000 0.5000 0.0000  4 Br 2.71
Br1 0.0000 0.5000 0.0000  2 Si 2.71, 2 Li 2.71
Br2 0.5000 0.0000 0.0000  2 Si 2.71, 2 Li 2.71

Here is a relaxed structure of Li2SiBr from Alexandria via LeMat-Bulk. Energies are from PBE.

ΔE_f (raw): -0.28 eV per atom
Raw total energy: -12.1 eV/cell
SG: Cmmm (65)
DOS at the Fermi energy: 0.5 states/eV per cell
Relative energy among the computed polymorphs: 154 meV per atom

Unit cell a=4.9542 b=4.9542 c=3.1199 alpha=90.00 beta=90.00 gamma=105.97
Closest atoms and distances in Å follow each position.
Sites, in units of the cell vectors:
Li1 0.0000 0.5000 0.0000  4 Br 2.93, 4 Si 2.93, 4 Li 2.98-3.12
Li2 0.5000 0.0000 0.0000  4 Br 2.93, 4 Si 2.93, 4 Li 2.98-3.12
Si1 0.0000 0.0000 0.5000  8 Li 2.93, 2 Br 2.98, 2 Si 3.12
Br1 0.5000 0.5000 0.5000  8 Li 2.93, 2 Si 2.98, 2 Br 3.12

Here is a relaxed structure of LiSi2Br from Alexandria via LeMat-Bulk. Energies are from PBE.

ΔE_f (raw): 0.51 eV per atom
Raw total energy: -12.4 eV/cell
SG: P4/mmm (123)
DOS at the Fermi energy: 2.5 states/eV per cell
Relative energy among the computed polymorphs: 901 meV per atom

Unit cell a=4.9540 b=4.9540 c=3.0878 alpha=90.00 beta=90.00 gamma=90.00
Closest atoms and distances in Å follow each position.
Sites, in units of the cell vectors:
Li1 0.0000 0.0000 0.0000  8 Si 2.92, 2 Li 3.09
Si1 0.0000 0.5000 0.5000  4 Li 2.92, 4 Br 2.92, 2 Si 3.09
Si2 0.5000 0.0000 0.5000  4 Li 2.92, 4 Br 2.92, 2 Si 3.09
Br1 0.5000 0.5000 0.0000  8 Si 2.92, 2 Br 3.09

Here is a relaxed structure of Li2SiBr from Alexandria via LeMat-Bulk. Energies are from PBE.

ΔE_f (raw): -0.44 eV per atom
Raw total energy: -12.7 eV/cell
SG: R-3m (166)
DOS at the Fermi energy: 1.7 states/eV per cell
Relative energy among the computed polymorphs: 0 meV per atom

Unit cell a=8.0153 b=8.0153 c=8.0153 alpha=24.23 beta=24.23 gamma=24.23
Closest atoms and distances in Å follow each position.
Sites, in units of the cell vectors:
Li1 0.2390 0.2390 0.2390  3 Br 2.57
Li2 0.7610 0.7610 0.7610  3 Br 2.57
Si1 0.0000 0.0000 0.0000  6 Li 2.93
Br1 0.5000 0.5000 0.5000  6 Li 2.57

Here is a relaxed structure of LiSi2Br from Alexandria via LeMat-Bulk. Energies are from PBE.

ΔE_f (raw): -0.23 eV per atom
Raw total energy: -15.3 eV/cell
SG: P4/mmm (123)
DOS at the Fermi energy: 1.4 states/eV per cell
Relative energy among the computed polymorphs: 161 meV per atom

Unit cell a=3.4901 b=3.4901 c=8.5752 alpha=90.00 beta=90.00 gamma=90.00
Closest atoms and distances in Å follow each position.
Sites, in units of the cell vectors:
Li1 0.0000 0.0000 0.0000  4 Br 2.47
Si1 0.0000 0.5000 0.5000  4 Si 2.47
Si2 0.5000 0.0000 0.5000  4 Si 2.47
Br1 0.5000 0.5000 0.0000  4 Li 2.47

Here is a relaxed structure of Li2SiBr from Alexandria via LeMat-Bulk. Energies are from PBE.

ΔE_f (raw): -0.40 eV per atom
Raw total energy: -12.5 eV/cell
SG: Imm2 (44)
DOS at the Fermi energy: 1.4 states/eV per cell
Relative energy among the computed polymorphs: 40 meV per atom

Unit cell a=7.9450 b=7.9450 c=7.9450 alpha=156.63 beta=156.41 gamma=33.45
Closest atoms and distances in Å follow each position.
Sites, in units of the cell vectors:
Li1 0.0000 0.0000 0.0000  4 Br 2.62, 2 Si 2.93
Li2 0.7214 0.2214 0.5000  2 Br 2.63, 4 Si 2.91
Si1 0.3395 0.8395 0.5000  6 Li 2.91-2.93, 4 Si 3.22-3.25
Br1 0.5844 0.5844 0.0000  6 Li 2.62-2.63

Here is a relaxed structure of Li2SiBr from Alexandria via LeMat-Bulk. Energies are from PBE.

ΔE_f (raw): -0.24 eV per atom
Raw total energy: -11.9 eV/cell
SG: P4/mmm (123)
DOS at the Fermi energy: 1.7 states/eV per cell
Relative energy among the computed polymorphs: 200 meV per atom

Unit cell a=4.9111 b=4.9111 c=3.1320 alpha=90.00 beta=90.00 gamma=90.00
Closest atoms and distances in Å follow each position.
Sites, in units of the cell vectors:
Li1 0.0000 0.5000 0.0000  4 Br 2.91, 4 Si 2.91, 2 Li 3.13
Li2 0.5000 0.0000 0.0000  4 Br 2.91, 4 Si 2.91, 2 Li 3.13
Si1 0.0000 0.0000 0.5000  8 Li 2.91, 2 Si 3.13
Br1 0.5000 0.5000 0.5000  8 Li 2.91, 2 Br 3.13